Entry 1:
The following is a DFT calculation (GGA-PBE) of CeNd3Zn4 after structural relaxation. Values from VASP.

## Properties
- SG: P4/mmm, No. 123
- E: -3.4377 eV per atom
- ΔE_f: -0.27 eV/atom

Quantum ESPRESSO input file:
```
&SYSTEM
  ibrav = 0, nat = 8, ntyp = 3
/
ATOMIC_SPECIES
Ce 140.12 Ce.upf
Nd 144.24 Nd.upf
Zn 65.41 Zn.upf
ATOMIC_POSITIONS angstrom
Ce 0.000 0.000 0.000
Nd 0.000 0.000 3.656
Nd 0.000 0.000 7.364
Nd 0.000 0.000 11.072
Zn 1.832 1.832 1.793
Zn 1.832 1.832 5.522
Zn 1.832 1.832 9.206
Zn 1.832 1.832 12.936
CELL_PARAMETERS angstrom
3.664 0.000 0.000
0.000 3.664 0.000
0.000 0.000 14.728
```

Entry 2:
The following is a DFT calculation (GGA-PBE) of CeNd2Zn after structural relaxation. Values from VASP.

## Properties
- SG: P4/mmm, No. 123
- E: -4.1853 eV per atom
- ΔE_f: 0.00 eV/atom

Quantum ESPRESSO input file:
```
&SYSTEM
  ibrav = 0, nat = 4, ntyp = 3
/
ATOMIC_SPECIES
Ce 140.12 Ce.upf
Nd 144.24 Nd.upf
Zn 65.41 Zn.upf
ATOMIC_POSITIONS angstrom
Ce 0.000 0.000 0.000
Nd 0.000 2.441 2.339
Nd 2.441 0.000 2.339
Zn 2.441 2.441 0.000
CELL_PARAMETERS angstrom
4.882 0.000 0.000
0.000 4.882 0.000
0.000 0.000 4.677
```

Entry 3:
The following is a DFT calculation (GGA-PBE) of Ce2NdZn4 after structural relaxation. Values from VASP.

## Properties
- SG: Fmmm, No. 69
- E: -3.1778 eV per atom
- ΔE_f: -0.07 eV/atom

Quantum ESPRESSO input file:
```
&SYSTEM
  ibrav = 0, nat = 7, ntyp = 3
/
ATOMIC_SPECIES
Ce 140.12 Ce.upf
Nd 144.24 Nd.upf
Zn 65.41 Zn.upf
ATOMIC_POSITIONS angstrom
Ce 3.018 4.799 2.357
Ce 3.018 4.799 8.975
Nd 3.018 4.799 5.666
Zn 1.509 2.400 1.354
Zn 1.509 2.400 4.312
Zn 4.528 7.199 7.020
Zn 4.528 7.199 9.979
CELL_PARAMETERS angstrom
0.000 4.799 5.666
3.018 0.000 5.666
3.018 4.799 0.000
```

Entry 4:
The following is a DFT calculation (GGA-PBE) of CeNd3Zn8 after structural relaxation. Values from VASP.

## Properties
- SG: P3m1, No. 156
- E: -2.8228 eV per atom
- ΔE_f: -0.29 eV/atom

Quantum ESPRESSO input file:
```
&SYSTEM
  ibrav = 0, nat = 12, ntyp = 3
/
ATOMIC_SPECIES
Ce 140.12 Ce.upf
Nd 144.24 Nd.upf
Zn 65.41 Zn.upf
ATOMIC_POSITIONS angstrom
Ce 0.000 0.000 0.000
Nd 0.000 0.000 3.277
Nd 2.829 1.634 4.346
Nd 2.829 1.634 7.747
Zn -1.405 2.456 1.659
Zn 0.000 1.621 6.045
Zn -1.425 4.090 6.045
Zn 0.000 3.267 3.865
Zn 0.000 3.267 8.226
Zn 1.405 2.456 1.659
Zn 0.000 4.889 1.659
Zn 1.425 4.090 6.045
CELL_PARAMETERS angstrom
5.659 0.000 0.000
-2.829 4.901 0.000
0.000 0.000 8.765
```

Entry 5:
The following is a DFT calculation (GGA-PBE) of CeNdZn2 after structural relaxation. Values from VASP.

## Properties
- SG: P4/mmm, No. 123
- E: -3.5497 eV per atom
- ΔE_f: -0.24 eV/atom

Quantum ESPRESSO input file:
```
&SYSTEM
  ibrav = 0, nat = 4, ntyp = 3
/
ATOMIC_SPECIES
Ce 140.12 Ce.upf
Nd 144.24 Nd.upf
Zn 65.41 Zn.upf
ATOMIC_POSITIONS angstrom
Ce 0.000 0.000 0.000
Nd 0.000 0.000 3.691
Zn 1.819 1.819 1.814
Zn 1.819 1.819 5.567
CELL_PARAMETERS angstrom
3.638 0.000 0.000
0.000 3.638 0.000
0.000 0.000 7.381
```

Entry 6:
The following is a DFT calculation (GGA-PBE) of CeNd2Zn after structural relaxation. Values from VASP.

## Properties
- SG: P4/mmm, No. 123
- E: -4.2864 eV per atom
- ΔE_f: -0.10 eV/atom

Quantum ESPRESSO input file:
```
&SYSTEM
  ibrav = 0, nat = 4, ntyp = 3
/
ATOMIC_SPECIES
Ce 140.12 Ce.upf
Nd 144.24 Nd.upf
Zn 65.41 Zn.upf
ATOMIC_POSITIONS angstrom
Ce 0.000 0.000 0.000
Nd 1.817 1.817 2.437
Nd 1.817 1.817 6.163
Zn 0.000 0.000 4.300
CELL_PARAMETERS angstrom
3.634 0.000 0.000
0.000 3.634 0.000
0.000 0.000 8.600
```

Entry 7:
The following is a DFT calculation (GGA-PBE) of CeNdZn2 after structural relaxation. Values from VASP.

## Properties
- SG: Fm-3m, No. 225
- E: -3.5397 eV per atom
- ΔE_f: -0.23 eV/atom

Quantum ESPRESSO input file:
```
&SYSTEM
  ibrav = 0, nat = 4, ntyp = 3
/
ATOMIC_SPECIES
Ce 140.12 Ce.upf
Nd 144.24 Nd.upf
Zn 65.41 Zn.upf
ATOMIC_POSITIONS angstrom
Ce 0.000 0.000 0.000
Nd 3.660 3.660 3.660
Zn 1.830 1.830 1.830
Zn 5.490 5.490 5.490
CELL_PARAMETERS angstrom
0.000 3.660 3.660
3.660 0.000 3.660
3.660 3.660 0.000
```

Entry 8:
The following is a DFT calculation (GGA-PBE) of CeNd2Zn4 after structural relaxation. Values from VASP.

## Properties
- SG: I4/mmm, No. 139
- E: -3.0307 eV per atom
- ΔE_f: -0.09 eV/atom

Quantum ESPRESSO input file:
```
&SYSTEM
  ibrav = 0, nat = 7, ntyp = 3
/
ATOMIC_SPECIES
Ce 140.12 Ce.upf
Nd 144.24 Nd.upf
Zn 65.41 Zn.upf
ATOMIC_POSITIONS angstrom
Ce 0.000 0.000 0.000
Nd 0.000 0.000 3.560
Nd 0.000 0.000 9.156
Zn 2.651 0.000 1.357
Zn 2.651 0.000 5.001
Zn 0.000 2.651 1.357
Zn 0.000 2.651 5.001
CELL_PARAMETERS angstrom
-2.651 2.651 6.358
2.651 -2.651 6.358
2.651 2.651 -6.358
```